1.
A plane-wave DFT calculation with PBE-GGA was carried out for a geometry-optimized ZnGe structure.

Values from the calculation:
- Energy of formation from the pure elements: 0.167 eV per atom
- SG: P2_12_12_1, No. 19
- Crystal system: orthorhombic
- D(E_F): 2.57 states/eV per cell

Cell: 4.323 7.715 9.961 Å, 90.00 90.00 90.00°
Element x y z (fractional)
Zn (0.136, 0.098, 0.157)
Zn (0.142, 0.591, 0.908)
Zn (0.358, 0.409, 0.408)
Zn (0.364, 0.902, 0.657)
Zn (0.636, 0.402, 0.843)
Zn (0.642, 0.909, 0.092)
Zn (0.858, 0.091, 0.592)
Zn (0.864, 0.598, 0.343)
Ge (0.170, 0.918, 0.927)
Ge (0.184, 0.419, 0.160)
Ge (0.316, 0.581, 0.660)
Ge (0.330, 0.082, 0.427)
Ge (0.670, 0.582, 0.073)
Ge (0.684, 0.081, 0.840)
Ge (0.816, 0.919, 0.340)
Ge (0.830, 0.418, 0.573)


2.
A plane-wave DFT calculation with PBE-GGA was carried out for a geometry-optimized Li2LaCl4 structure.

Values from the calculation:
- SG: Imma, No. 74
- Crystal system: orthorhombic
- E_tot: -29.33 eV/f.u.
- D(E_F): 2.19 states/eV per cell

Cell: 7.949 7.949 7.949 Å, 125.37 118.15 87.10°
Element x y z (fractional)
Li (0.000, 0.000, 0.000)
Li (0.379, 0.629, 0.750)
Li (0.500, 0.000, 0.500)
Li (0.621, 0.371, 0.250)
La (0.000, 0.000, 0.500)
La (0.000, 0.500, 0.000)
Cl (0.248, 0.238, 0.489)
Cl (0.248, 0.759, 0.011)
Cl (0.256, 0.229, 0.027)
Cl (0.298, 0.771, 0.527)
Cl (0.702, 0.229, 0.473)
Cl (0.744, 0.771, 0.973)
Cl (0.752, 0.241, 0.989)
Cl (0.752, 0.762, 0.511)


3.
A plane-wave DFT calculation with PBE-GGA was carried out for a geometry-optimized V2H4Rh3 structure.

Values from the calculation:
- SG: P-3m1, No. 164
- Crystal system: trigonal
- E_tot: -55.42 eV/f.u.
- D(E_F): 5.52 states/eV per cell

Cell: 2.814 2.814 11.220 Å, 90.00 90.00 120.00°
Element x y z (fractional)
V (0.333, 0.667, 0.204)
V (0.667, 0.333, 0.796)
H (0.000, 0.000, 0.299)
H (0.000, 0.000, 0.701)
H (0.333, 0.667, 0.887)
H (0.667, 0.333, 0.113)
Rh (0.000, 0.000, 0.000)
Rh (0.333, 0.667, 0.602)
Rh (0.667, 0.333, 0.398)


4.
A plane-wave DFT calculation with PBE-GGA was carried out for a geometry-optimized GdInO2 structure.

Values from the calculation:
- SG: R-3m, No. 166
- Crystal system: trigonal
- E_tot: -35.98 eV/f.u.
- D(E_F): 1.04 states/eV per cell

Cell: 7.138 7.138 7.138 Å, 28.60 28.60 28.60°
Element x y z (fractional)
Gd (0.000, 0.000, 0.000)
In (0.500, 0.500, 0.500)
O (0.388, 0.388, 0.388)
O (0.612, 0.612, 0.612)


5.
A plane-wave DFT calculation with PBE-GGA was carried out for a geometry-optimized La9Tb4Pr11 structure.

Values from the calculation:
- Energy of formation from the pure elements: 0.048 eV per atom
- SG: Cmmm, No. 65
- Crystal system: orthorhombic
- D(E_F): 35.29 states/eV per cell

Cell: 16.230 16.230 3.739 Å, 90.00 90.00 118.09°
Element x y z (fractional)
La (0.000, 0.000, 0.000)
La (0.115, 0.673, 0.000)
La (0.296, 0.473, 0.000)
La (0.327, 0.885, 0.000)
La (0.473, 0.296, 0.000)
La (0.527, 0.704, 0.000)
La (0.673, 0.115, 0.000)
La (0.704, 0.527, 0.000)
La (0.885, 0.327, 0.000)
Tb (0.076, 0.266, 0.000)
Tb (0.266, 0.076, 0.000)
Tb (0.734, 0.924, 0.000)
Tb (0.924, 0.734, 0.000)
Pr (0.099, 0.465, 0.500)
Pr (0.122, 0.878, 0.500)
Pr (0.251, 0.251, 0.500)
Pr (0.320, 0.680, 0.500)
Pr (0.465, 0.099, 0.500)
Pr (0.500, 0.500, 0.500)
Pr (0.535, 0.901, 0.500)
Pr (0.680, 0.320, 0.500)
Pr (0.749, 0.749, 0.500)
Pr (0.878, 0.122, 0.500)
Pr (0.901, 0.535, 0.500)


6.
A plane-wave DFT calculation with PBE-GGA was carried out for a geometry-optimized TaRe3Sn structure.

Values from the calculation:
- Energy of formation from the pure elements: 2.593 eV per atom
- SG: Pm-3m, No. 221
- Crystal system: cubic
- Energy above the lowest structure with this stoichiometry: 431.5 meV/atom
- D(E_F): 4.62 states/eV per cell

Cell: 4.733 4.733 4.733 Å, 90.00 90.00 90.00°
Element x y z (fractional)
Ta (0.000, 0.000, 0.000)
Re (0.000, 0.500, 0.500)
Re (0.500, 0.000, 0.500)
Re (0.500, 0.500, 0.000)
Sn (0.500, 0.500, 0.500)


7.
A plane-wave DFT calculation with PBE-GGA was carried out for a geometry-optimized Li2Tl2Ir structure.

Values from the calculation:
- Energy of formation from the pure elements: 0.191 eV per atom
- SG: P4/mbm, No. 127
- Crystal system: tetragonal
- Energy above the lowest structure with this stoichiometry: 58.0 meV/atom
- D(E_F): 5.45 states/eV per cell

Cell: 7.110 7.110 3.404 Å, 90.00 90.00 90.00°
Element x y z (fractional)
Li (0.134, 0.366, 0.000)
Li (0.366, 0.866, 0.000)
Li (0.634, 0.134, 0.000)
Li (0.866, 0.634, 0.000)
Tl (0.169, 0.669, 0.500)
Tl (0.331, 0.169, 0.500)
Tl (0.669, 0.831, 0.500)
Tl (0.831, 0.331, 0.500)
Ir (0.000, 0.000, 0.000)
Ir (0.500, 0.500, 0.000)


8.
A plane-wave DFT calculation with PBE-GGA was carried out for a geometry-optimized Sm2HoBi structure.

Values from the calculation:
- Energy of formation from the pure elements: -0.380 eV per atom
- SG: P4/mmm, No. 123
- Crystal system: tetragonal
- Energy above the lowest structure with this stoichiometry: 15.3 meV/atom
- D(E_F): 4.18 states/eV per cell

Cell: 4.278 4.278 6.813 Å, 90.00 90.00 90.00°
Element x y z (fractional)
Sm (0.000, 0.000, 0.239)
Sm (0.000, 0.000, 0.761)
Ho (0.500, 0.500, 0.500)
Bi (0.500, 0.500, 0.000)


9.
A plane-wave DFT calculation with PBE-GGA was carried out for a geometry-optimized Ga2ReGe4 structure.

Values from the calculation:
- Energy of formation from the pure elements: 0.431 eV per atom
- SG: I4/mmm, No. 139
- Crystal system: tetragonal
- D(E_F): 2.66 states/eV per cell

Cell: 8.855 8.855 8.855 Å, 149.26 149.26 44.02°
Element x y z (fractional)
Ga (0.192, 0.192, 0.000)
Ga (0.808, 0.808, 0.000)
Re (0.500, 0.500, 0.000)
Ge (0.000, 0.500, 0.500)
Ge (0.348, 0.348, 0.000)
Ge (0.500, 0.000, 0.500)
Ge (0.652, 0.652, 0.000)


10.
A plane-wave DFT calculation with PBE-GGA was carried out for a geometry-optimized Rb3AsPt2 structure.

Values from the calculation:
- Energy of formation from the pure elements: -0.250 eV per atom
- SG: P2_1/c, No. 14
- Crystal system: monoclinic
- D(E_F): 12.43 states/eV per cell

Cell: 8.572 8.822 11.654 Å, 90.00 109.96 90.00°
Element x y z (fractional)
Rb (0.172, 0.249, 0.168)
Rb (0.172, 0.251, 0.668)
Rb (0.249, 0.530, 0.937)
Rb (0.249, 0.970, 0.437)
Rb (0.250, 0.530, 0.437)
Rb (0.250, 0.970, 0.937)
Rb (0.750, 0.030, 0.063)
Rb (0.750, 0.470, 0.563)
Rb (0.751, 0.030, 0.563)
Rb (0.751, 0.470, 0.063)
Rb (0.828, 0.749, 0.332)
Rb (0.828, 0.751, 0.832)
As (0.384, 0.750, 0.221)
As (0.384, 0.750, 0.721)
As (0.616, 0.250, 0.279)
As (0.616, 0.250, 0.779)
Pt (0.089, 0.750, 0.147)
Pt (0.089, 0.750, 0.647)
Pt (0.500, 0.001, 0.750)
Pt (0.500, 0.499, 0.250)
Pt (0.500, 0.501, 0.750)
Pt (0.500, 0.999, 0.250)
Pt (0.911, 0.250, 0.353)
Pt (0.911, 0.250, 0.853)


11.
A plane-wave DFT calculation with PBE-GGA was carried out for a geometry-optimized In2P6Pd21 structure.

Values from the calculation:
- Energy of formation from the pure elements: -0.495 eV per atom
- SG: Fm-3m, No. 225
- Crystal system: cubic
- D(E_F): 8.44 states/eV per cell

Cell: 8.581 8.581 8.581 Å, 60.00 60.00 60.00°
Element x y z (fractional)
In (0.250, 0.250, 0.250)
In (0.750, 0.750, 0.750)
P (0.237, 0.237, 0.763)
P (0.237, 0.763, 0.237)
P (0.237, 0.763, 0.763)
P (0.763, 0.237, 0.237)
P (0.763, 0.237, 0.763)
P (0.763, 0.763, 0.237)
Pd (0.117, 0.117, 0.117)
Pd (0.117, 0.117, 0.648)
Pd (0.117, 0.648, 0.117)
Pd (0.156, 0.500, 0.500)
Pd (0.156, 0.500, 0.844)
Pd (0.156, 0.844, 0.500)
Pd (0.352, 0.883, 0.883)
Pd (0.500, 0.156, 0.500)
Pd (0.500, 0.156, 0.844)
Pd (0.500, 0.500, 0.156)
Pd (0.500, 0.500, 0.500)
Pd (0.500, 0.500, 0.844)
Pd (0.500, 0.844, 0.156)
Pd (0.500, 0.844, 0.500)
Pd (0.648, 0.117, 0.117)
Pd (0.844, 0.156, 0.500)
Pd (0.844, 0.500, 0.156)
Pd (0.844, 0.500, 0.500)
Pd (0.883, 0.352, 0.883)
Pd (0.883, 0.883, 0.352)
Pd (0.883, 0.883, 0.883)


12.
A plane-wave DFT calculation with PBE-GGA was carried out for a geometry-optimized Pr2Ga5Pd5 structure.

Values from the calculation:
- Energy of formation from the pure elements: -0.757 eV per atom
- SG: Pmmm, No. 47
- Crystal system: orthorhombic
- D(E_F): 6.80 states/eV per cell

Cell: 4.317 5.411 9.543 Å, 90.00 90.00 90.00°
Element x y z (fractional)
Pr (0.000, 0.000, 0.000)
Pr (0.000, 0.500, 0.500)
Ga (0.500, 0.000, 0.500)
Ga (0.500, 0.246, 0.236)
Ga (0.500, 0.246, 0.764)
Ga (0.500, 0.754, 0.236)
Ga (0.500, 0.754, 0.764)
Pd (0.000, 0.000, 0.337)
Pd (0.000, 0.000, 0.663)
Pd (0.000, 0.500, 0.189)
Pd (0.000, 0.500, 0.811)
Pd (0.500, 0.500, 0.000)


13.
A plane-wave DFT calculation with PBE-GGA was carried out for a geometry-optimized UCuB4 structure.

Values from the calculation:
- Energy of formation from the pure elements: -0.288 eV per atom
- SG: Pbam, No. 55
- Crystal system: orthorhombic
- D(E_F): 18.52 states/eV per cell

Cell: 5.924 11.472 3.501 Å, 90.00 90.00 90.00°
Element x y z (fractional)
U (0.124, 0.151, 0.000)
U (0.376, 0.651, 0.000)
U (0.624, 0.349, 0.000)
U (0.876, 0.849, 0.000)
Cu (0.131, 0.413, 0.000)
Cu (0.369, 0.913, 0.000)
Cu (0.631, 0.087, 0.000)
Cu (0.869, 0.587, 0.000)
B (0.031, 0.694, 0.500)
B (0.115, 0.547, 0.500)
B (0.132, 0.968, 0.500)
B (0.214, 0.812, 0.500)
B (0.286, 0.312, 0.500)
B (0.368, 0.468, 0.500)
B (0.385, 0.047, 0.500)
B (0.469, 0.194, 0.500)
B (0.531, 0.806, 0.500)
B (0.615, 0.953, 0.500)
B (0.632, 0.532, 0.500)
B (0.714, 0.688, 0.500)
B (0.786, 0.188, 0.500)
B (0.868, 0.032, 0.500)
B (0.885, 0.453, 0.500)
B (0.969, 0.306, 0.500)


14.
A plane-wave DFT calculation with PBE-GGA was carried out for a geometry-optimized KCd3Pt structure.

Values from the calculation:
- Energy of formation from the pure elements: -0.255 eV per atom
- SG: Cm, No. 8
- Crystal system: monoclinic
- Energy above the lowest structure with this stoichiometry: 0.0 meV/atom
- D(E_F): 2.45 states/eV per cell

Cell: 6.541 6.541 7.684 Å, 90.02 90.02 60.00°
Element x y z (fractional)
K (0.000, 0.000, 0.000)
K (0.000, 0.000, 0.500)
Cd (0.000, 0.500, 0.750)
Cd (0.500, 0.000, 0.750)
Cd (0.500, 0.500, 0.250)
Cd (0.500, 0.500, 0.750)
Cd (0.500, 0.999, 0.250)
Cd (0.999, 0.500, 0.250)
Pt (0.333, 0.333, 0.500)
Pt (0.666, 0.666, 0.000)


15.
A plane-wave DFT calculation with PBE-GGA was carried out for a geometry-optimized Ho3Co2Ge4 structure.

Values from the calculation:
- Energy of formation from the pure elements: -0.721 eV per atom
- SG: C2/m, No. 12
- Crystal system: monoclinic
- Energy above the lowest structure with this stoichiometry: 0.0 meV/atom
- D(E_F): 5.70 states/eV per cell

Cell: 5.688 5.688 7.986 Å, 106.24 106.24 42.80°
Element x y z (fractional)
Ho (0.000, 0.000, 0.000)
Ho (0.377, 0.377, 0.307)
Ho (0.623, 0.623, 0.693)
Co (0.308, 0.308, 0.627)
Co (0.692, 0.692, 0.373)
Ge (0.097, 0.097, 0.399)
Ge (0.291, 0.291, 0.919)
Ge (0.709, 0.709, 0.081)
Ge (0.903, 0.903, 0.601)


16.
A plane-wave DFT calculation with PBE-GGA was carried out for a geometry-optimized DyMg3S4 structure.

Values from the calculation:
- SG: Cmmm, No. 65
- Crystal system: orthorhombic
- E_tot: -37.67 eV/f.u.
- D(E_F): 2.05 states/eV per cell

Cell: 6.577 6.577 3.711 Å, 90.00 90.00 109.00°
Element x y z (fractional)
Dy (0.000, 0.000, 0.000)
Mg (0.000, 0.500, 0.500)
Mg (0.500, 0.000, 0.500)
Mg (0.500, 0.500, 0.000)
S (0.256, 0.744, 0.000)
S (0.265, 0.265, 0.500)
S (0.735, 0.735, 0.500)
S (0.744, 0.256, 0.000)


17.
A plane-wave DFT calculation with PBE-GGA was carried out for a geometry-optimized Li6Mg5Cd structure.

Values from the calculation:
- Energy of formation from the pure elements: -0.097 eV per atom
- SG: C2/m, No. 12
- Crystal system: monoclinic
- D(E_F): 4.40 states/eV per cell

Cell: 8.349 8.349 4.849 Å, 106.72 106.72 120.71°
Element x y z (fractional)
Li (0.082, 0.407, 0.744)
Li (0.239, 0.239, 0.239)
Li (0.407, 0.082, 0.744)
Li (0.593, 0.918, 0.256)
Li (0.761, 0.761, 0.761)
Li (0.918, 0.593, 0.256)
Mg (0.171, 0.829, 0.000)
Mg (0.334, 0.666, 0.500)
Mg (0.500, 0.500, 0.000)
Mg (0.666, 0.334, 0.500)
Mg (0.829, 0.171, 0.000)
Cd (0.000, 0.000, 0.500)


18.
A plane-wave DFT calculation with PBE-GGA was carried out for a geometry-optimized SbOs2W structure.

Values from the calculation:
- SG: I-4m2, No. 119
- Crystal system: tetragonal
- E_tot: -37.27 eV/f.u.
- D(E_F): 3.95 states/eV per cell

Cell: 5.006 5.006 5.006 Å, 133.69 133.69 67.57°
Element x y z (fractional)
Sb (0.000, 0.000, 0.000)
Os (0.500, 0.500, 0.000)
Os (0.750, 0.250, 0.500)
W (0.250, 0.750, 0.500)


19.
A plane-wave DFT calculation with PBE-GGA was carried out for a geometry-optimized BaCa2La structure.

Values from the calculation:
- Energy of formation from the pure elements: 0.114 eV per atom
- SG: Pm, No. 6
- Crystal system: monoclinic
- Energy above the lowest structure with this stoichiometry: 39.4 meV/atom
- D(E_F): 5.76 states/eV per cell

Cell: 3.805 6.335 7.472 Å, 90.00 100.40 90.00°
Element x y z (fractional)
Ba (0.000, 0.000, 0.000)
Ca (0.540, 0.000, 0.506)
Ca (0.739, 0.500, 0.262)
La (0.268, 0.500, 0.741)


20.
A plane-wave DFT calculation with PBE-GGA was carried out for a geometry-optimized Ac2MgCdIr structure.

Values from the calculation:
- Energy of formation from the pure elements: -0.425 eV per atom
- SG: P2_1/m, No. 11
- Crystal system: monoclinic
- D(E_F): 8.02 states/eV per cell

Cell: 8.434 4.499 8.470 Å, 90.00 110.51 90.00°
Element x y z (fractional)
Ac (0.032, 0.250, 0.230)
Ac (0.335, 0.750, 0.604)
Ac (0.665, 0.250, 0.396)
Ac (0.968, 0.750, 0.770)
Mg (0.339, 0.250, 0.938)
Mg (0.661, 0.750, 0.062)
Cd (0.335, 0.750, 0.173)
Cd (0.665, 0.250, 0.827)
Ir (0.105, 0.250, 0.623)
Ir (0.895, 0.750, 0.377)